Tl2MoF GGA+U relaxed; calculated total energy = -3.416 eV/atom; symmetry = No. 225
1.0
0.000 3.640 3.640
3.640 0.000 3.640
3.640 3.640 0.000
F Tl Mo
1 2 1
Cartesian
0.000 0.000 0.000 F
1.820 1.820 1.820 Tl
5.460 5.460 5.460 Tl
3.640 3.640 3.640 Mo